## InReSb2Te (GGA-PBE)

Data for a geometry-optimized InReSb2Te structure.

Space group   P4/mmm
Energy above the lowest structure with this stoichiometry   0.000 eV/atom
Formation energy without anion corrections   0.56 eV per atom
Uncorrected energy   -23.8 eV per formula unit

a b c (Å): 5.0799 5.0799 5.9545
angles (deg): 90.00 90.00 90.00
With the nearest neighbours (Å) after each atom.
Positions (direct):
Re  0.0000  0.0000  0.0000  4 Sb 2.54
Te  0.0000  0.0000  0.5000  2 Re 2.98
Sb  0.5000  0.0000  0.0000  2 Re 2.54
Sb  0.0000  0.5000  0.0000  2 Re 2.54
In  0.5000  0.5000  0.5000  4 Te 3.59, 8 Sb 3.91


## InReSb2Te (GGA-PBE)

Data for a geometry-optimized InReSb2Te structure.

Space group   P4/mmm
Energy above the lowest structure with this stoichiometry   1.213 eV/atom
Formation energy without anion corrections   1.77 eV per atom
Uncorrected energy   -17.7 eV per formula unit

a b c (Å): 5.5582 5.5582 5.5584
angles (deg): 90.00 90.00 90.00
With the nearest neighbours (Å) after each atom.
Positions (direct):
Re  0.5000  0.5000  0.5000  4 Te 3.93, 8 Sb 3.93
Sb  0.0000  0.5000  0.0000  2 In 2.78
Sb  0.5000  0.0000  0.0000  2 In 2.78
In  0.0000  0.0000  0.0000  4 Sb 2.78, 2 Te 2.78
Te  0.0000  0.0000  0.5000  2 In 2.78


## InReSbTe2 (GGA-PBE)

Data for a geometry-optimized InReSbTe2 structure.

Space group   P4/mmm
Energy above the lowest structure with this stoichiometry   0.000 eV/atom
Formation energy without anion corrections   0.57 eV per atom
Uncorrected energy   -22.8 eV per formula unit

a b c (Å): 5.4258 5.4258 5.1429
angles (deg): 90.00 90.00 90.00
With the nearest neighbours (Å) after each atom.
Positions (direct):
Re  0.0000  0.0000  0.0000  2 Sb 2.57, 4 Te 2.71
Te  0.0000  0.5000  0.0000  2 Re 2.71
Te  0.5000  0.0000  0.0000  2 Re 2.71
In  0.5000  0.5000  0.5000  8 Te 3.74, 4 Sb 3.84
Sb  0.0000  0.0000  0.5000  2 Re 2.57


## Y2InReSb (GGA-PBE)

Data for a geometry-optimized Y2InReSb structure.

Space group   P4/mmm
Formation energy without anion corrections   1.42 eV per atom
Uncorrected energy   -25.2 eV per formula unit

a b c (Å): 5.6307 5.2772 5.6307
angles (deg): 90.00 90.00 90.00
With the nearest neighbours (Å) after each atom.
Positions (direct):
In  0.0000  0.0000  0.0000  2 Sb 2.64, 4 Y 2.82
Re  0.5000  0.5000  0.5000  8 Y 3.86, 4 Sb 3.98
Sb  0.0000  0.5000  0.0000  2 In 2.64
Y  0.5000  0.0000  0.0000  2 In 2.82
Y  0.0000  0.0000  0.5000  2 In 2.82


## Sc2InRe (GGA-PBE)

Data for a geometry-optimized Sc2InRe structure.

Space group   P4mm
Formation energy from the elements   58.0 meV per atom
Uncorrected energy   -27.6 eV per formula unit

a b c (Å): 3.5816 3.5816 6.2232
angles (deg): 90.00 90.00 90.00
With the nearest neighbours (Å) after each atom.
Positions (direct):
Re  0.5000  0.5000  0.7751  5 Sc 2.80-2.93, 4 In 3.02
In  0.0000  0.0000  0.5114  5 Sc 2.83-3.02, 4 Re 3.02
Sc  0.5000  0.5000  0.2466  1 Re 2.93, 4 In 3.02, 4 Sc 3.07
Sc  0.0000  0.0000  0.9669  4 Re 2.80, 1 In 2.83, 4 Sc 3.07


## ScIn2Re (GGA-PBE)

Data for a geometry-optimized ScIn2Re structure.

Space group   Pm
Energy above the lowest structure with this stoichiometry   0.135 eV/atom
Formation energy from the elements   206.0 meV per atom
Uncorrected energy   -23.4 eV per formula unit

a b c (Å): 4.6865 3.0366 5.5599
angles (deg): 82.08 90.00 90.00
With the nearest neighbours (Å) after each atom.
Positions (direct):
Sc  0.5000  0.6994  0.7545  5 In 2.80-3.08, 2 Re 2.86, 2 Sc 3.04
In  0.5000  0.1524  0.2809  1 Sc 2.80, 4 In 2.90-3.04, 4 Re 2.91-3.13
In  0.0000  0.1210  0.9777  2 Re 2.84-3.14, 4 In 2.90-3.04, 4 Sc 3.02-3.08
Re  0.0000  0.5272  0.4869  6 In 2.84-3.14, 2 Sc 2.86, 2 Re 3.04